P | An optimized crystal structure of Ni3PI. Source: Alexandria, functional PBE-GGA.

```
data_Ni3PI
_space_group_name_H-M_alt 'P m -3 m'
_space_group_IT_number 221
_space_group_name_Hall '-P 4 2 3'
_cell_length_a 4.639
_cell_length_b 4.639
_cell_length_c 4.639
_cell_angle_alpha 90.00
_cell_angle_beta 90.00
_cell_angle_gamma 90.00
loop_
_atom_site_label
_atom_site_type_symbol
_atom_site_fract_x
_atom_site_fract_y
_atom_site_fract_z
Ni1 Ni 0.000 0.000 0.500
P1 P 0.500 0.500 0.500
I1 I 0.000 0.000 0.000
```

Q | An optimized crystal structure of Ni3PI. Source: Alexandria, functional PBE-GGA.

```
data_Ni3PI
_space_group_name_H-M_alt 'P m -3 m'
_space_group_IT_number 221
_space_group_name_Hall '-P 4 2 3'
_cell_length_a 4.346
_cell_length_b 4.346
_cell_length_c 4.346
_cell_angle_alpha 90.00
_cell_angle_beta 90.00
_cell_angle_gamma 90.00
loop_
_atom_site_label
_atom_site_type_symbol
_atom_site_fract_x
_atom_site_fract_y
_atom_site_fract_z
Ni1 Ni 0.000 0.000 0.500
P1 P 0.000 0.000 0.000
I1 I 0.500 0.500 0.500
```

The data favor Q; the next most stable structure lies 1020 meV per atom above it.

P | An optimized crystal structure of NiPI2. Source: Alexandria, functional PBE-GGA.

```
data_NiPI2
_space_group_name_H-M_alt 'I -4 2 d'
_space_group_IT_number 122
_space_group_name_Hall 'I -4 2bw'
_cell_length_a 6.982
_cell_length_b 6.982
_cell_length_c 8.589
_cell_angle_alpha 90.00
_cell_angle_beta 90.00
_cell_angle_gamma 90.00
loop_
_atom_site_label
_atom_site_type_symbol
_atom_site_fract_x
_atom_site_fract_y
_atom_site_fract_z
Ni1 Ni 0.000 0.000 0.000
P1 P 0.000 0.000 0.500
I1 I 0.210 0.250 0.125
```

Q | An optimized crystal structure of NiPI2. Source: Alexandria, functional PBE-GGA.

```
data_NiPI2
_space_group_name_H-M_alt 'F m -3 m'
_space_group_IT_number 225
_space_group_name_Hall '-F 4 2 3'
_cell_length_a 7.037
_cell_length_b 7.037
_cell_length_c 7.037
_cell_angle_alpha 90.00
_cell_angle_beta 90.00
_cell_angle_gamma 90.00
loop_
_atom_site_label
_atom_site_type_symbol
_atom_site_fract_x
_atom_site_fract_y
_atom_site_fract_z
Ni1 Ni 0.000 0.000 0.000
P1 P 0.000 0.000 0.500
I1 I 0.250 0.250 0.250
```

The data favor P; the next most stable structure lies 365 meV per atom above it.

P | An optimized crystal structure of Ni2PI. Source: Alexandria, functional PBE-GGA.

```
data_Ni2PI
_space_group_name_H-M_alt 'I -4 2 d'
_space_group_IT_number 122
_space_group_name_Hall 'I -4 2bw'
_cell_length_a 5.588
_cell_length_b 5.588
_cell_length_c 10.216
_cell_angle_alpha 90.00
_cell_angle_beta 90.00
_cell_angle_gamma 90.00
loop_
_atom_site_label
_atom_site_type_symbol
_atom_site_fract_x
_atom_site_fract_y
_atom_site_fract_z
Ni1 Ni 0.190 0.250 0.125
P1 P 0.000 0.000 0.000
I1 I 0.000 0.000 0.500
```

Q | An optimized crystal structure of Ni2PI. Source: Alexandria, functional PBE-GGA.

```
data_Ni2PI
_space_group_name_H-M_alt 'F m -3 m'
_space_group_IT_number 225
_space_group_name_Hall '-F 4 2 3'
_cell_length_a 6.294
_cell_length_b 6.294
_cell_length_c 6.294
_cell_angle_alpha 90.00
_cell_angle_beta 90.00
_cell_angle_gamma 90.00
loop_
_atom_site_label
_atom_site_type_symbol
_atom_site_fract_x
_atom_site_fract_y
_atom_site_fract_z
Ni1 Ni 0.250 0.250 0.250
P1 P 0.000 0.000 0.000
I1 I 0.000 0.000 0.500
```

The data favor P; the next most stable structure lies 556 meV per atom above it.

P | An optimized crystal structure of NiSb2PI. Source: Alexandria, functional PBE-GGA.

```
data_NiSb2PI
_space_group_name_H-M_alt 'P 4/m m m'
_space_group_IT_number 123
_space_group_name_Hall '-P 4 2'
_cell_length_a 4.992
_cell_length_b 4.992
_cell_length_c 5.063
_cell_angle_alpha 90.00
_cell_angle_beta 90.00
_cell_angle_gamma 90.00
loop_
_atom_site_label
_atom_site_type_symbol
_atom_site_fract_x
_atom_site_fract_y
_atom_site_fract_z
Ni1 Ni 0.000 0.000 0.000
Sb1 Sb 0.000 0.500 0.000
P1 P 0.500 0.500 0.500
I1 I 0.000 0.000 0.500
```

Q | An optimized crystal structure of NiSb2PI. Source: Alexandria, functional PBE-GGA.

```
data_NiSb2PI
_space_group_name_H-M_alt 'P 4/m m m'
_space_group_IT_number 123
_space_group_name_Hall '-P 4 2'
_cell_length_a 5.224
_cell_length_b 5.224
_cell_length_c 5.226
_cell_angle_alpha 90.00
_cell_angle_beta 90.00
_cell_angle_gamma 90.00
loop_
_atom_site_label
_atom_site_type_symbol
_atom_site_fract_x
_atom_site_fract_y
_atom_site_fract_z
Ni1 Ni 0.000 0.000 0.000
Sb1 Sb 0.000 0.500 0.500
P1 P 0.500 0.500 0.500
I1 I 0.500 0.500 0.000
```

The data favor P; the next most stable structure lies 382 meV per atom above it.

P | An optimized crystal structure of NiSbPI2. Source: Alexandria, functional PBE-GGA.

```
data_NiSbPI2
_space_group_name_H-M_alt 'P 4/m m m'
_space_group_IT_number 123
_space_group_name_Hall '-P 4 2'
_cell_length_a 5.133
_cell_length_b 5.133
_cell_length_c 5.019
_cell_angle_alpha 90.00
_cell_angle_beta 90.00
_cell_angle_gamma 90.00
loop_
_atom_site_label
_atom_site_type_symbol
_atom_site_fract_x
_atom_site_fract_y
_atom_site_fract_z
Ni1 Ni 0.000 0.000 0.000
Sb1 Sb 0.000 0.000 0.500
P1 P 0.500 0.500 0.500
I1 I 0.000 0.500 0.000
```

Q | An optimized crystal structure of NiSbPI2. Source: Alexandria, functional PBE-GGA.

```
data_NiSbPI2
_space_group_name_H-M_alt 'P 4/m m m'
_space_group_IT_number 123
_space_group_name_Hall '-P 4 2'
_cell_length_a 5.353
_cell_length_b 5.353
_cell_length_c 5.409
_cell_angle_alpha 90.00
_cell_angle_beta 90.00
_cell_angle_gamma 90.00
loop_
_atom_site_label
_atom_site_type_symbol
_atom_site_fract_x
_atom_site_fract_y
_atom_site_fract_z
Ni1 Ni 0.000 0.000 0.000
Sb1 Sb 0.500 0.500 0.000
P1 P 0.500 0.500 0.500
I1 I 0.000 0.500 0.500
```

The data favor P; the next most stable structure lies 292 meV per atom above it.

P | An optimized crystal structure of NiTePI2. Source: Alexandria, functional PBE-GGA.

```
data_NiTePI2
_space_group_name_H-M_alt 'P 4/m m m'
_space_group_IT_number 123
_space_group_name_Hall '-P 4 2'
_cell_length_a 5.114
_cell_length_b 5.114
_cell_length_c 5.120
_cell_angle_alpha 90.00
_cell_angle_beta 90.00
_cell_angle_gamma 90.00
loop_
_atom_site_label
_atom_site_type_symbol
_atom_site_fract_x
_atom_site_fract_y
_atom_site_fract_z
Ni1 Ni 0.000 0.000 0.000
Te1 Te 0.000 0.000 0.500
P1 P 0.500 0.500 0.500
I1 I 0.000 0.500 0.000
```

Q | An optimized crystal structure of NiTePI2. Source: Alexandria, functional PBE-GGA.

```
data_NiTePI2
_space_group_name_H-M_alt 'P 4/m m m'
_space_group_IT_number 123
_space_group_name_Hall '-P 4 2'
_cell_length_a 5.531
_cell_length_b 5.531
_cell_length_c 5.726
_cell_angle_alpha 90.00
_cell_angle_beta 90.00
_cell_angle_gamma 90.00
loop_
_atom_site_label
_atom_site_type_symbol
_atom_site_fract_x
_atom_site_fract_y
_atom_site_fract_z
Ni1 Ni 0.000 0.000 0.000
Te1 Te 0.500 0.500 0.000
P1 P 0.500 0.500 0.500
I1 I 0.000 0.500 0.500
```

The data favor P; the next most stable structure lies 268 meV per atom above it.

P | An optimized crystal structure of NiPbI2. Source: Alexandria, functional PBE-GGA.

```
data_NiPbI2
_space_group_name_H-M_alt 'I -4 2 d'
_space_group_IT_number 122
_space_group_name_Hall 'I -4 2bw'
_cell_length_a 7.025
_cell_length_b 7.025
_cell_length_c 11.195
_cell_angle_alpha 90.00
_cell_angle_beta 90.00
_cell_angle_gamma 90.00
loop_
_atom_site_label
_atom_site_type_symbol
_atom_site_fract_x
_atom_site_fract_y
_atom_site_fract_z
Ni1 Ni 0.000 0.000 0.000
Pb1 Pb 0.000 0.000 0.500
I1 I 0.166 0.250 0.125
```

Q | An optimized crystal structure of NiPbI2. Source: Alexandria, functional PBE-GGA.

```
data_NiPbI2
_space_group_name_H-M_alt 'F m -3 m'
_space_group_IT_number 225
_space_group_name_Hall '-F 4 2 3'
_cell_length_a 7.688
_cell_length_b 7.688
_cell_length_c 7.688
_cell_angle_alpha 90.00
_cell_angle_beta 90.00
_cell_angle_gamma 90.00
loop_
_atom_site_label
_atom_site_type_symbol
_atom_site_fract_x
_atom_site_fract_y
_atom_site_fract_z
Ni1 Ni 0.000 0.000 0.000
Pb1 Pb 0.000 0.000 0.500
I1 I 0.250 0.250 0.250
```

The data favor P; the next most stable structure lies 321 meV per atom above it.